## Tb2PmTmBi4 (PBE)

Data for Tb2PmTmBi4 after structural relaxation.

Calculated values
formation enthalpy at 0 K: -6.9 eV/f.u.

Lattice parameters (Å, degrees): 4.503 7.796 7.793 70.52 90.00 90.00
Fractional coordinates of all 8 atoms:
Bi: 0.000 0.752 0.745
Bi: 0.500 0.251 0.745
Pm: 0.500 0.500 0.000
Bi: 0.000 0.248 0.255
Tb: 0.000 0.000 0.000
Tb: 0.500 0.000 0.500
Tm: 0.000 0.500 0.500
Bi: 0.500 0.749 0.255

=====

## Ba2LiZnGe2 (PBE)

Data for Ba2LiZnGe2 after structural relaxation.

Calculated values
formation enthalpy at 0 K: -2.8 eV/f.u.

Lattice parameters (Å, degrees): 6.632 6.601 8.902 111.76 111.87 90.00
Fractional coordinates of all 12 atoms:
Zn: 0.500 0.750 0.000
Li: 0.000 0.750 0.000
Ba: 0.403 0.158 0.315
Ge: 0.169 0.905 0.810
Li: 0.000 0.250 0.000
Zn: 0.500 0.250 0.000
Ge: 0.359 0.595 0.190
Ba: 0.597 0.842 0.685
Ba: 0.088 0.342 0.685
Ge: 0.831 0.095 0.190
Ba: 0.912 0.658 0.315
Ge: 0.641 0.405 0.810

=====

## Na12Hg (PBE)

Data for Na12Hg after structural relaxation.

Calculated values
formation enthalpy at 0 K: -0.2 eV/f.u.

Lattice parameters (Å, degrees): 8.374 8.374 8.374 109.47 109.47 109.47
Fractional coordinates of all 13 atoms:
Na: 0.692 0.868 0.176
Na: 0.516 0.824 0.692
Na: 0.824 0.692 0.516
Hg: 0.000 0.000 0.000
Na: 0.308 0.132 0.824
Na: 0.692 0.516 0.824
Na: 0.308 0.484 0.176
Na: 0.176 0.308 0.484
Na: 0.824 0.308 0.132
Na: 0.484 0.176 0.308
Na: 0.132 0.824 0.308
Na: 0.868 0.176 0.692
Na: 0.176 0.692 0.868

=====

## TlRe2Au (PBE)

Data for TlRe2Au after structural relaxation.

Calculated values
formation enthalpy at 0 K: 3.6 eV/f.u.
distance to the lowest polymorph of the same formula: 500 meV/atom

Lattice parameters (Å, degrees): 4.933 4.933 4.933 130.01 130.01 73.40
Fractional coordinates of all 4 atoms:
Re: 0.250 0.750 0.500
Au: 0.750 0.250 0.500
Re: 0.000 0.000 0.000
Tl: 0.500 0.500 0.000

=====

## NdTl3Pd3 (PBE)

Data for NdTl3Pd3 after structural relaxation.

Calculated values
formation enthalpy at 0 K: 1.4 eV/f.u.
distance to the lowest polymorph of the same formula: 478 meV/atom

Lattice parameters (Å, degrees): 7.418 7.418 7.418 90.00 90.00 90.00
Fractional coordinates of all 14 atoms:
Pd: 0.750 0.500 0.000
Tl: 0.250 0.000 0.500
Tl: 0.750 0.000 0.500
Tl: 0.500 0.750 0.000
Pd: 0.250 0.500 0.000
Nd: 0.500 0.500 0.500
Tl: 0.000 0.500 0.750
Pd: 0.000 0.750 0.500
Pd: 0.500 0.000 0.250
Tl: 0.500 0.250 0.000
Tl: 0.000 0.500 0.250
Pd: 0.500 0.000 0.750
Pd: 0.000 0.250 0.500
Nd: 0.000 0.000 0.000

=====

## ScU2Sn9 (PBE)

Data for ScU2Sn9 after structural relaxation.

Calculated values
formation enthalpy at 0 K: -2.0 eV/f.u.

Lattice parameters (Å, degrees): 4.629 4.629 13.863 90.00 90.00 90.00
Site moments in Bohr magnetons follow the coordinates.
Fractional coordinates of all 12 atoms:
Sn: 0.000 0.500 0.836  0.01
Sn: 0.500 0.500 0.331  -0.01
Sn: 0.500 0.000 0.164  0.01
Sn: 0.500 0.000 0.500  -0.01
Sn: 0.000 0.500 0.500  -0.01
U: 0.000 0.000 0.334  2.25
Sc: 0.000 0.000 0.000  -0.09
U: 0.000 0.000 0.666  2.25
Sn: 0.000 0.500 0.164  0.01
Sn: 0.500 0.500 0.000  0.01
Sn: 0.500 0.500 0.669  -0.01
Sn: 0.500 0.000 0.836  0.01

=====

## Tb2ZrPaAs4 (PBE)

Data for Tb2ZrPaAs4 after structural relaxation.

Calculated values
formation enthalpy at 0 K: -10.4 eV/f.u.

Lattice parameters (Å, degrees): 4.058 6.989 7.051 109.32 90.00 90.00
Fractional coordinates of all 8 atoms:
Zr: 0.000 0.000 0.000
As: 0.500 0.242 0.238
As: 0.500 0.758 0.762
Tb: 0.000 0.500 0.500
As: 0.000 0.754 0.243
Tb: 0.500 0.000 0.500
Pa: 0.500 0.500 0.000
As: 0.000 0.246 0.757

=====

## Cd2CoRh (PBE)

Data for Cd2CoRh after structural relaxation.

Calculated values
formation enthalpy at 0 K: 0.9 eV/f.u.

Lattice parameters (Å, degrees): 4.826 4.826 4.954 79.06 79.06 35.44
Site moments in Bohr magnetons follow the coordinates.
Fractional coordinates of all 4 atoms:
Cd: 0.002 0.002 0.997  -0.02
Cd: 0.498 0.498 0.503  -0.02
Co: 0.750 0.750 0.750  1.69
Rh: 0.250 0.250 0.250  0.32

=====

## Tm2BeSi3 (PBE)

Data for Tm2BeSi3 after structural relaxation.

Calculated values
distance to the lowest polymorph of the same formula: 0 meV/atom

Lattice parameters (Å, degrees): 5.534 5.534 7.803 110.66 110.66 90.28
Fractional coordinates of all 12 atoms:
Be: 0.666 0.666 0.333
Si: 0.653 0.653 0.828
Tm: 0.250 0.750 0.500
Tm: 0.750 0.250 0.500
Tm: 0.246 0.754 0.000
Si: 0.173 0.173 0.345
Be: 0.334 0.334 0.667
Si: 0.827 0.827 0.655
Si: 0.347 0.347 0.172
Si: 0.825 0.825 0.172
Si: 0.175 0.175 0.828
Tm: 0.754 0.246 0.000

=====

## SrNi2S2 (PBE)

Data for SrNi2S2 after structural relaxation.

Lattice parameters (Å, degrees): 4.413 4.413 5.429 66.02 66.02 90.00
Fractional coordinates of all 5 atoms:
Ni: 0.668 0.668 0.665
Ni: 0.332 0.332 0.335
S: 0.750 0.250 0.500
Sr: 0.000 0.000 0.000
S: 0.250 0.750 0.500

=====

## SrNpSb (PBE)

Data for SrNpSb after structural relaxation.

Lattice parameters (Å, degrees): 4.028 4.028 13.516 81.43 81.43 60.00
Site moments in Bohr magnetons follow the coordinates.
Fractional coordinates of all 6 atoms:
Sr: 0.879 0.879 0.364  0.00
Sr: 0.121 0.121 0.636  0.00
Np: 0.655 0.655 0.036  0.61
Np: 0.345 0.345 0.964  0.61
Sb: 0.270 0.270 0.191  -0.01
Sb: 0.730 0.730 0.809  -0.01

=====

## Be2AlCu (PBE)

Data for Be2AlCu after structural relaxation.

Calculated values
formation enthalpy at 0 K: 0.1 eV/f.u.

Lattice parameters (Å, degrees): 2.787 3.127 5.005 90.00 90.00 90.00
Fractional coordinates of all 4 atoms:
Cu: 0.500 0.500 0.250
Be: 0.000 0.000 0.486
Be: 0.000 0.000 0.014
Al: 0.500 0.500 0.750

=====

How do the records compare in E_tot? In the order shown, they have -5.1166; -3.1759; -1.2590; -6.7307; -3.7276; -5.5818; -7.0414; -3.8480; -5.4637; -4.9973; -6.4643; -3.7877 eV per atom.